InPbSe2O | Alexandria via LeMat-Bulk | PBE-GGA | relaxed; magnetization = 1.00 μB/cell; density of states at the Fermi level = 4.98 states/eV/f.u.; formation energy (no corrections) = -158.1 kJ/mol of formula units
1.0
-2.550 -2.265 -4.262
1.646 -3.599 0.927
-4.290 -1.144 3.175
O In Pb Se
1 1 1 2
direct
0.000 0.500 0.000
0.000 0.000 0.000
0.500 0.500 0.500
0.500 0.000 0.000
0.000 0.000 0.500

---

CrHgMo2 | Alexandria via LeMat-Bulk | PBE-GGA | relaxed; magnetization = 0.00 μB/cell; density of states at the Fermi level = 3.83 states/eV/f.u.; calculated formation energy = 2.050 eV/f.u.
1.0
-3.280 7.955 -2.034
-3.826 7.923 0.878
-1.167 8.764 -0.121
Mo Cr Hg
2 1 1
direct
0.513 0.513 0.513
0.987 0.987 0.987
0.250 0.250 0.250
0.750 0.750 0.750

---

CsCdPbCl5 | Alexandria via LeMat-Bulk | PBE-GGA | relaxed; magnetization = 0.00 μB/cell; density of states at the Fermi level = 0.00 states/eV/f.u.; formation energy (no corrections) = -1047.8 kJ/mol of formula units
1.0
-2.124 5.301 5.723
-6.774 -3.653 -2.478
5.062 -7.468 5.283
Cs Cd Cl Pb
2 2 10 2
direct
0.657 0.343 0.750
0.343 0.657 0.250
0.313 0.687 0.750
0.687 0.313 0.250
0.683 0.099 0.388
0.753 0.614 0.432
0.081 0.919 0.250
0.614 0.753 0.932
0.317 0.901 0.612
0.099 0.683 0.888
0.919 0.081 0.750
0.386 0.247 0.068
0.247 0.386 0.568
0.901 0.317 0.112
0.000 0.000 0.000
0.000 0.000 0.500